Compound: Li3Ga2Cu4
Source: Alexandria via LeMat-Bulk
Functional: PBE
Structure: relaxed

Calculated volume: 116.99 Å³ per cell
Energy above the lowest structure with this stoichiometry: 0 meV per atom
M_tot: 0.00 μB/atom
Formation enthalpy at 0 K: -197 meV/atom

abc: 4.1679 4.1680 7.7770
angles: 90.01 90.01 59.99
With the nearest neighbours (Å) after each atom.
Fractional positions:
Ga (0.6667, 0.6667, 0.2181)  7 Cu 2.53-2.57, 1 Li 2.67
Ga (0.3333, 0.3333, 0.7819)  7 Cu 2.53-2.57, 1 Li 2.67
Li (0.0000, 0.0000, 0.0000)  8 Cu 2.55-2.59
Li (0.3333, 0.3333, 0.4381)  4 Cu 2.54-2.57, 3 Li 2.59, 1 Ga 2.67
Li (0.6667, 0.6667, 0.5619)  4 Cu 2.54-2.57, 3 Li 2.59, 1 Ga 2.67
Cu (0.6667, 0.6666, 0.8923)  4 Ga 2.53-2.55, 4 Li 2.55-2.57
Cu (0.0000, 0.0000, 0.3332)  4 Li 2.54-2.59, 3 Ga 2.57, 1 Cu 2.59
Cu (0.0000, 0.0000, 0.6668)  4 Li 2.54-2.59, 3 Ga 2.57, 1 Cu 2.59
Cu (0.3333, 0.3334, 0.1077)  4 Ga 2.53-2.55, 4 Li 2.55-2.57